# PBE-GGA AlCr2Te, relaxed
# **DFT total energy**: -6.234 eV/atom
# **Formation energy without anion corrections**: 28.8 kJ per mole of atoms
# **Total moment**: 0.101 μB per cell
# **Relative energy among the computed polymorphs**: 101 meV/atom
data_AlCr2Te
_cell_length_a 9.2388
_cell_length_b 3.1674
_cell_length_c 4.6140
_cell_angle_alpha 90.00
_cell_angle_beta 106.54
_cell_angle_gamma 90.00
_space_group_name_H-M_alt 'C 1 m 1'
_space_group_IT_number 8
loop_
_space_group_symop_operation_xyz
'x,y,z'
'x,-y,z'
'x+1/2,y+1/2,z'
'x+1/2,-y+1/2,z'
loop_
_atom_site_label
_atom_site_type_symbol
_atom_site_fract_x
_atom_site_fract_y
_atom_site_fract_z
_atom_site_occupancy
Al1 Al 0.0000 0.0000 0.0000 1
Cr1 Cr 0.0131 0.5000 0.5287 1
Cr2 Cr 0.2608 0.0000 0.8590 1
Te1 Te 0.2660 0.5000 0.3502 1

---

# PBE-GGA AlTlCrTe3, relaxed
# **DFT total energy**: -4.426 eV/atom
# **Formation energy without anion corrections**: -22.5 kJ per mole of atoms
# **Total moment**: 7.879 μB per cell
data_AlTlCrTe3
_cell_length_a 8.2451
_cell_length_b 4.1082
_cell_length_c 12.3847
_cell_angle_alpha 90.00
_cell_angle_beta 108.80
_cell_angle_gamma 90.00
_space_group_name_H-M_alt 'P 1 21/m 1'
_space_group_IT_number 11
loop_
_space_group_symop_operation_xyz
'x,y,z'
'-x,-y,-z'
'-x,y+1/2,-z'
'x,-y+1/2,z'
loop_
_atom_site_label
_atom_site_type_symbol
_atom_site_fract_x
_atom_site_fract_y
_atom_site_fract_z
_atom_site_occupancy
Al1 Al 0.0283 0.2500 0.1180 1
Tl1 Tl 0.4863 0.2500 0.7696 1
Cr1 Cr 0.0315 0.7500 0.3771 1
Te1 Te 0.1899 0.2500 0.9558 1
Te2 Te 0.1902 0.7500 0.6150 1
Te3 Te 0.2301 0.2500 0.3258 1

---

# PBE-GGA AlTl2CrTe4, relaxed
# **DFT total energy**: -4.082 eV/atom
# **Formation energy without anion corrections**: -24.0 kJ per mole of atoms
# **Total moment**: 12.139 μB per cell
data_AlTl2CrTe4
_cell_length_a 8.6496
_cell_length_b 8.7251
_cell_length_c 12.2562
_cell_angle_alpha 90.00
_cell_angle_beta 90.00
_cell_angle_gamma 90.00
_space_group_name_H-M_alt 'I m m a'
_space_group_IT_number 74
_space_group_name_Hall '-I 2b 2'
loop_
_atom_site_label
_atom_site_type_symbol
_atom_site_fract_x
_atom_site_fract_y
_atom_site_fract_z
_atom_site_occupancy
Al1 Al 0.2500 0.2500 0.2500 1
Tl1 Tl 0.0000 0.0000 0.0000 1
Tl2 Tl 0.2500 0.2500 0.7500 1
Cr1 Cr 0.0000 0.0000 0.5000 1
Te1 Te 0.0000 0.0321 0.2693 1
Te2 Te 0.2120 0.2500 0.4826 1

---

# PBE-GGA ThAl8Cr4, relaxed
# **DFT total energy**: -6.050 eV/atom
# **Total moment**: 4.951 μB per cell
# **Formation energy**: -0.21 eV per atom
data_ThAl8Cr4
_cell_length_a 9.0163
_cell_length_b 9.0163
_cell_length_c 5.0257
_cell_angle_alpha 90.00
_cell_angle_beta 90.00
_cell_angle_gamma 90.00
_space_group_name_H-M_alt 'I 4/m m m'
_space_group_IT_number 139
_space_group_name_Hall '-I 4 2'
loop_
_atom_site_label
_atom_site_type_symbol
_atom_site_fract_x
_atom_site_fract_y
_atom_site_fract_z
_atom_site_occupancy
Th1 Th 0.0000 0.0000 0.0000 1
Al1 Al 0.0000 0.2243 0.5000 1
Al2 Al 0.0000 0.3447 0.0000 1
Cr1 Cr 0.2500 0.2500 0.2500 1

---

# PBE-GGA ThAlCr, relaxed
# **DFT total energy**: -6.971 eV/atom
# **Total moment**: 10.646 μB per cell
# **Formation energy**: -0.04 eV per atom
data_ThAlCr
_cell_length_a 7.6670
_cell_length_b 4.6441
_cell_length_c 7.2159
_cell_angle_alpha 90.00
_cell_angle_beta 90.00
_cell_angle_gamma 90.00
_space_group_name_H-M_alt 'P n m a'
_space_group_IT_number 62
loop_
_space_group_symop_operation_xyz
'x,y,z'
'-x,-y,-z'
'-x+1/2,-y,z+1/2'
'x+1/2,y,-z+1/2'
'x+1/2,-y+1/2,-z+1/2'
'-x+1/2,y+1/2,z+1/2'
'-x,y+1/2,-z'
'x,-y+1/2,z'
loop_
_atom_site_label
_atom_site_type_symbol
_atom_site_fract_x
_atom_site_fract_y
_atom_site_fract_z
_atom_site_occupancy
Th1 Th 0.0195 0.2500 0.1840 1
Al1 Al 0.1987 0.2500 0.6091 1
Cr1 Cr 0.1399 0.7500 0.4395 1

---

# PBE-GGA TiAlCr, relaxed
# **DFT total energy**: -7.278 eV/atom
# **Total moment**: 0.003 μB per cell
# **Relative energy among the computed polymorphs**: 0 meV/atom
# **Formation energy**: -0.19 eV per atom
data_TiAlCr
_cell_length_a 8.2491
_cell_length_b 4.9863
_cell_length_c 8.5722
_cell_angle_alpha 90.00
_cell_angle_beta 90.00
_cell_angle_gamma 90.00
_space_group_name_H-M_alt 'A m m 2'
_space_group_IT_number 38
loop_
_space_group_symop_operation_xyz
'x,y,z'
'-x,-y,z'
'-x,y,z'
'x,-y,z'
'x,y+1/2,z+1/2'
'-x,-y+1/2,z+1/2'
'-x,y+1/2,z+1/2'
'x,-y+1/2,z+1/2'
loop_
_atom_site_label
_atom_site_type_symbol
_atom_site_fract_x
_atom_site_fract_y
_atom_site_fract_z
_atom_site_occupancy
Ti1 Ti 0.1774 0.0000 0.0000 1
Ti2 Ti 0.3067 0.0000 0.3351 1
Al1 Al 0.2423 0.0000 0.6783 1
Al2 Al 0.5000 0.2452 0.0816 1
Cr1 Cr 0.0000 0.0000 0.4972 1
Cr2 Cr 0.0000 0.2298 0.2606 1
Cr3 Cr 0.5000 0.0000 0.8371 1

---

# PBE-GGA TiAl2Cr2, relaxed
# **DFT total energy**: -6.905 eV/atom
# **Total moment**: 0.000 μB per cell
# **Relative energy among the computed polymorphs**: 30 meV/atom
# **Formation energy**: 0.02 eV per atom
data_TiAl2Cr2
_cell_length_a 7.3213
_cell_length_b 7.3213
_cell_length_c 2.6939
_cell_angle_alpha 90.00
_cell_angle_beta 90.00
_cell_angle_gamma 90.00
_space_group_name_H-M_alt 'P 4/m b m'
_space_group_IT_number 127
_space_group_name_Hall '-P 4 2ab'
loop_
_atom_site_label
_atom_site_type_symbol
_atom_site_fract_x
_atom_site_fract_y
_atom_site_fract_z
_atom_site_occupancy
Ti1 Ti 0.0000 0.0000 0.0000 1
Al1 Al 0.1887 0.3113 0.5000 1
Cr1 Cr 0.1040 0.6040 0.0000 1

---

# PBE-GGA Ti3AlCr, relaxed
# **DFT total energy**: -6.100 eV/atom
# **Total moment**: 0.001 μB per cell
# **Relative energy among the computed polymorphs**: 832 meV/atom
# **Formation energy**: 1.31 eV per atom
data_Ti3AlCr
_cell_length_a 4.6145
_cell_length_b 4.6145
_cell_length_c 4.6145
_cell_angle_alpha 90.00
_cell_angle_beta 90.00
_cell_angle_gamma 90.00
_space_group_name_H-M_alt 'P m -3 m'
_space_group_IT_number 221
_space_group_name_Hall '-P 4 2 3'
loop_
_atom_site_label
_atom_site_type_symbol
_atom_site_fract_x
_atom_site_fract_y
_atom_site_fract_z
_atom_site_occupancy
Ti1 Ti 0.0000 0.0000 0.5000 1
Al1 Al 0.0000 0.0000 0.0000 1
Cr1 Cr 0.5000 0.5000 0.5000 1

---

Copy entry 7 word for word.
# PBE-GGA TiAl2Cr2, relaxed
# **DFT total energy**: -6.905 eV/atom
# **Total moment**: 0.000 μB per cell
# **Relative energy among the computed polymorphs**: 30 meV/atom
# **Formation energy**: 0.02 eV per atom
data_TiAl2Cr2
_cell_length_a 7.3213
_cell_length_b 7.3213
_cell_length_c 2.6939
_cell_angle_alpha 90.00
_cell_angle_beta 90.00
_cell_angle_gamma 90.00
_space_group_name_H-M_alt 'P 4/m b m'
_space_group_IT_number 127
_space_group_name_Hall '-P 4 2ab'
loop_
_atom_site_label
_atom_site_type_symbol
_atom_site_fract_x
_atom_site_fract_y
_atom_site_fract_z
_atom_site_occupancy
Ti1 Ti 0.0000 0.0000 0.0000 1
Al1 Al 0.1887 0.3113 0.5000 1
Cr1 Cr 0.1040 0.6040 0.0000 1

---

- Which value of total moment does entry 2 give?
  7.879 μB per cell